Entry from Alexandria: an optimized crystal structure of GeH3Pd (GGA-PBE).

Values from the calculation:
The magnetization is 0.0 μB per formula unit. The calculation puts the calculated density at 6.268 g cm⁻³. The calculation puts the total energy at -3.691 eV per atom. The distance to the lowest polymorph of the same formula is 0.000 eV/atom.

a = 3.640 Å, b = 3.640 Å, c = 3.640 Å
α = 90.00°, β = 90.00°, γ = 90.00°
Fractional coordinates of all 5 atoms:
H (0.000, 0.000, 0.500)
H (0.500, 0.000, 0.000)
H (0.000, 0.500, 0.000)
Ge (0.500, 0.500, 0.500)
Pd (0.000, 0.000, 0.000)

***

Entry from Alexandria: an optimized crystal structure of BiBrCl2 (GGA-PBE).

Values from the calculation:
The calculation puts the uncorrected formation energy at -0.87 eV/atom. The magnetization is 0.0 μB per formula unit. The calculation puts the calculated density at 3.988 g cm⁻³. The calculation puts the total energy at -3.186 eV per atom. The distance to the lowest polymorph of the same formula is 0.011 eV/atom.

a = 4.126 Å, b = 5.451 Å, c = 7.489 Å
α = 111.34°, β = 106.07°, γ = 90.00°
Fractional coordinates of all 4 atoms:
Cl (0.270, 0.602, 0.203)
Cl (0.639, 0.971, 0.942)
Bi (0.277, 0.108, 0.217)
Br (0.930, 0.261, 0.521)

***

Entry from Alexandria: an optimized crystal structure of Li2CdTcN (GGA-PBE).

Values from the calculation:
The calculation puts the uncorrected formation energy at -0.18 eV/atom. The magnetization is 0.6 μB per formula unit. The calculation puts the calculated density at 5.897 g cm⁻³. The calculation puts the total energy at -4.866 eV per atom.

a = 4.137 Å, b = 4.137 Å, c = 3.921 Å
α = 90.00°, β = 90.00°, γ = 90.00°
Each line ends with the local moment (μB).
Fractional coordinates of all 5 atoms:
Tc (0.000, 0.000, 0.500)  0.58
Li (0.000, 0.500, 0.000)  0.00
Li (0.500, 0.000, 0.000)  0.00
Cd (0.500, 0.500, 0.500)  -0.01
N (0.000, 0.000, 0.000)  0.01

***

Entry from Alexandria: an optimized crystal structure of Na2CuH4 (GGA-PBE).

Values from the calculation:
The magnetization is 0.0 μB per formula unit. The calculation puts the calculated density at 2.343 g cm⁻³. The calculation puts the total energy at -2.904 eV per atom.

a = 3.434 Å, b = 3.493 Å, c = 6.933 Å
α = 104.59°, β = 90.00°, γ = 90.00°
Fractional coordinates of all 7 atoms:
H (0.500, 0.000, 0.000)
H (0.000, 0.500, 0.000)
H (0.000, 0.872, 0.745)
H (0.000, 0.128, 0.255)
Na (0.500, 0.372, 0.744)
Na (0.500, 0.628, 0.256)
Cu (0.000, 0.000, 0.000)

***

Entry from Alexandria: an optimized crystal structure of Tb2Ce4Pb3O2 (GGA-PBE).

Values from the calculation:
The calculation puts the uncorrected formation energy at -1.27 eV/atom. The magnetization is 3.9 μB per formula unit. The calculation puts the calculated density at 8.654 g cm⁻³. The calculation puts the total energy at -6.185 eV per atom.

a = 4.738 Å, b = 4.738 Å, c = 13.514 Å
α = 100.10°, β = 100.10°, γ = 90.00°
Each line ends with the local moment (μB).
Fractional coordinates of all 11 atoms:
Pb (0.819, 0.819, 0.638)  -0.03
Pb (0.000, 0.000, 0.000)  -0.04
Pb (0.181, 0.181, 0.362)  -0.03
Ce (0.586, 0.086, 0.172)  0.81
Ce (0.414, 0.914, 0.828)  0.81
Ce (0.086, 0.586, 0.172)  0.81
Ce (0.914, 0.414, 0.828)  0.81
O (0.605, 0.605, 0.211)  -0.03
O (0.395, 0.395, 0.789)  -0.03
Tb (0.304, 0.304, 0.608)  0.07
Tb (0.696, 0.696, 0.392)  0.07

***

Entry from Alexandria: an optimized crystal structure of Ca16Al12Pd (GGA-PBE).

Values from the calculation:
The calculation puts the formation energy at -0.193 eV/atom. The magnetization is 0.0 μB per formula unit. The calculation puts the calculated density at 2.250 g cm⁻³. The calculation puts the total energy at -3.025 eV per atom.

a = 9.571 Å, b = 9.571 Å, c = 11.452 Å
α = 112.46°, β = 112.46°, γ = 104.82°
Fractional coordinates of all 29 atoms:
Al (0.629, 0.814, 0.664)
Al (0.625, 0.625, 0.803)
Al (0.814, 0.629, 0.664)
Al (0.995, 0.383, 0.175)
Al (0.822, 0.822, 0.117)
Al (0.806, 0.187, 0.849)
Al (0.383, 0.995, 0.175)
Al (0.359, 0.164, 0.015)
Al (0.164, 0.359, 0.015)
Al (0.184, 0.999, 0.299)
Al (0.187, 0.806, 0.849)
Al (0.999, 0.184, 0.299)
Ca (0.360, 0.745, 0.338)
Ca (0.415, 0.646, 0.002)
Ca (0.241, 0.579, 0.577)
Ca (0.579, 0.241, 0.577)
Ca (0.976, 0.742, 0.365)
Ca (0.993, 0.392, 0.704)
Ca (0.624, 0.004, 0.002)
Ca (0.646, 0.415, 0.002)
Ca (0.250, 0.250, 0.613)
Ca (0.004, 0.624, 0.002)
Ca (0.742, 0.976, 0.365)
Ca (0.745, 0.360, 0.338)
Ca (0.999, 0.999, 0.709)
Ca (0.392, 0.993, 0.704)
Ca (0.999, 0.999, 0.994)
Ca (0.381, 0.381, 0.337)
Pd (0.688, 0.688, 0.448)